(1)
A plane-wave DFT calculation with PBE was carried out for SnBiIN2 after structural relaxation.

Calculated density: 6.35 Mg/m³
Excess energy over the best structure of this formula in the dataset: 0.0909 eV per atom
E_form (uncorrected): 1.46 eV per atom

Structure (CIF):
```
data_SnBiIN2
_cell_length_a 4.475
_cell_length_b 4.475
_cell_length_c 6.304
_cell_angle_alpha 90.00
_cell_angle_beta 90.00
_cell_angle_gamma 90.00
_symmetry_space_group_name_H-M 'P 1'
_symmetry_Int_Tables_number 1
_symmetry_space_group_name_Hall 'P 1'
loop_
_atom_site_label
_atom_site_type_symbol
_atom_site_fract_x
_atom_site_fract_y
_atom_site_fract_z
Sn1 Sn 0.500 0.500 0.500
Bi1 Bi 0.000 0.000 0.000
N1 N 0.500 0.000 0.000
N2 N 0.000 0.500 0.000
I1 I 0.000 0.000 0.500
```


(2)
A plane-wave DFT calculation with PBE was carried out for SnBiI2N after structural relaxation.

Calculated density: 5.69 Mg/m³
Excess energy over the best structure of this formula in the dataset: 0.0750 eV per atom
E_form (uncorrected): 0.66 eV per atom

Structure (CIF):
```
data_SnBiI2N
_cell_length_a 6.432
_cell_length_b 6.432
_cell_length_c 4.200
_cell_angle_alpha 90.00
_cell_angle_beta 90.00
_cell_angle_gamma 90.00
_symmetry_space_group_name_H-M 'P 1'
_symmetry_Int_Tables_number 1
_symmetry_space_group_name_Hall 'P 1'
loop_
_atom_site_label
_atom_site_type_symbol
_atom_site_fract_x
_atom_site_fract_y
_atom_site_fract_z
I1 I 0.000 0.500 0.000
Bi1 Bi 0.000 0.000 0.000
I2 I 0.500 0.000 0.000
N1 N 0.000 0.000 0.500
Sn1 Sn 0.500 0.500 0.500
```


(3)
A plane-wave DFT calculation with PBE was carried out for SnBiIN2 after structural relaxation.

Calculated density: 7.10 Mg/m³
Excess energy over the best structure of this formula in the dataset: 0.0000 eV per atom
E_form (uncorrected): 1.37 eV per atom

Structure (CIF):
```
data_SnBiIN2
_cell_length_a 4.371
_cell_length_b 4.371
_cell_length_c 5.907
_cell_angle_alpha 90.00
_cell_angle_beta 90.00
_cell_angle_gamma 90.00
_symmetry_space_group_name_H-M 'P 1'
_symmetry_Int_Tables_number 1
_symmetry_space_group_name_Hall 'P 1'
loop_
_atom_site_label
_atom_site_type_symbol
_atom_site_fract_x
_atom_site_fract_y
_atom_site_fract_z
Sn1 Sn 0.000 0.000 0.000
N1 N 0.500 0.000 0.000
Bi1 Bi 0.500 0.500 0.500
N2 N 0.000 0.500 0.000
I1 I 0.000 0.000 0.500
```


(4)
A plane-wave DFT calculation with PBE was carried out for SrBiI2N after structural relaxation.

Calculated density: 5.22 Mg/m³
Excess energy over the best structure of this formula in the dataset: 0.4497 eV per atom
E_form (uncorrected): 0.46 eV per atom

Structure (CIF):
```
data_SrBiI2N
_cell_length_a 6.365
_cell_length_b 6.365
_cell_length_c 4.429
_cell_angle_alpha 90.00
_cell_angle_beta 90.00
_cell_angle_gamma 90.00
_symmetry_space_group_name_H-M 'P 1'
_symmetry_Int_Tables_number 1
_symmetry_space_group_name_Hall 'P 1'
loop_
_atom_site_label
_atom_site_type_symbol
_atom_site_fract_x
_atom_site_fract_y
_atom_site_fract_z
Bi1 Bi 0.500 0.500 0.500
N1 N 0.000 0.000 0.500
I1 I 0.000 0.500 0.000
Sr1 Sr 0.000 0.000 0.000
I2 I 0.500 0.000 0.000
```


(5)
A plane-wave DFT calculation with PBE was carried out for SrBiIN2 after structural relaxation.

Calculated density: 5.47 Mg/m³
Excess energy over the best structure of this formula in the dataset: 0.7211 eV per atom
E_form (uncorrected): 1.43 eV per atom

Structure (CIF):
```
data_SrBiIN2
_cell_length_a 4.699
_cell_length_b 4.699
_cell_length_c 6.203
_cell_angle_alpha 90.00
_cell_angle_beta 90.00
_cell_angle_gamma 90.00
_symmetry_space_group_name_H-M 'P 1'
_symmetry_Int_Tables_number 1
_symmetry_space_group_name_Hall 'P 1'
loop_
_atom_site_label
_atom_site_type_symbol
_atom_site_fract_x
_atom_site_fract_y
_atom_site_fract_z
Bi1 Bi 0.500 0.500 0.500
Sr1 Sr 0.000 0.000 0.000
N1 N 0.500 0.000 0.000
I1 I 0.000 0.000 0.500
N2 N 0.000 0.500 0.000
```


(6)
A plane-wave DFT calculation with PBE was carried out for SrBiIN2 after structural relaxation.

Calculated density: 5.67 Mg/m³
Excess energy over the best structure of this formula in the dataset: 0.0000 eV per atom
E_form (uncorrected): 0.71 eV per atom

Structure (CIF):
```
data_SrBiIN2
_cell_length_a 4.610
_cell_length_b 4.610
_cell_length_c 6.218
_cell_angle_alpha 90.00
_cell_angle_beta 90.00
_cell_angle_gamma 90.00
_symmetry_space_group_name_H-M 'P 1'
_symmetry_Int_Tables_number 1
_symmetry_space_group_name_Hall 'P 1'
loop_
_atom_site_label
_atom_site_type_symbol
_atom_site_fract_x
_atom_site_fract_y
_atom_site_fract_z
N1 N 0.500 0.000 0.000
N2 N 0.000 0.500 0.000
Sr1 Sr 0.500 0.500 0.500
I1 I 0.000 0.000 0.500
Bi1 Bi 0.000 0.000 0.000
```


(7)
A plane-wave DFT calculation with PBE was carried out for SrBiI2N after structural relaxation.

Calculated density: 5.19 Mg/m³
Excess energy over the best structure of this formula in the dataset: 0.0000 eV per atom
E_form (uncorrected): 0.01 eV per atom

Structure (CIF):
```
data_SrBiI2N
_cell_length_a 6.494
_cell_length_b 6.494
_cell_length_c 4.280
_cell_angle_alpha 90.00
_cell_angle_beta 90.00
_cell_angle_gamma 90.00
_symmetry_space_group_name_H-M 'P 1'
_symmetry_Int_Tables_number 1
_symmetry_space_group_name_Hall 'P 1'
loop_
_atom_site_label
_atom_site_type_symbol
_atom_site_fract_x
_atom_site_fract_y
_atom_site_fract_z
I1 I 0.000 0.500 0.000
I2 I 0.500 0.000 0.000
N1 N 0.000 0.000 0.500
Sr1 Sr 0.500 0.500 0.500
Bi1 Bi 0.000 0.000 0.000
```


(8)
A plane-wave DFT calculation with PBE was carried out for TaBiIN2 after structural relaxation.

Calculated density: 8.97 Mg/m³
Excess energy over the best structure of this formula in the dataset: 0.0000 eV per atom
E_form (uncorrected): 0.67 eV per atom

Structure (CIF):
```
data_TaBiIN2
_cell_length_a 4.233
_cell_length_b 4.233
_cell_length_c 5.626
_cell_angle_alpha 90.00
_cell_angle_beta 90.00
_cell_angle_gamma 90.00
_symmetry_space_group_name_H-M 'P 1'
_symmetry_Int_Tables_number 1
_symmetry_space_group_name_Hall 'P 1'
loop_
_atom_site_label
_atom_site_type_symbol
_atom_site_fract_x
_atom_site_fract_y
_atom_site_fract_z
I1 I 0.000 0.000 0.500
N1 N 0.500 0.000 0.000
Ta1 Ta 0.000 0.000 0.000
N2 N 0.000 0.500 0.000
Bi1 Bi 0.500 0.500 0.500
```


(9)
A plane-wave DFT calculation with PBE was carried out for TaBiIN2 after structural relaxation.

Calculated density: 7.49 Mg/m³
Excess energy over the best structure of this formula in the dataset: 1.5449 eV per atom
E_form (uncorrected): 2.21 eV per atom

Structure (CIF):
```
data_TaBiIN2
_cell_length_a 4.368
_cell_length_b 4.368
_cell_length_c 6.329
_cell_angle_alpha 90.00
_cell_angle_beta 90.00
_cell_angle_gamma 90.00
_symmetry_space_group_name_H-M 'P 1'
_symmetry_Int_Tables_number 1
_symmetry_space_group_name_Hall 'P 1'
loop_
_atom_site_label
_atom_site_type_symbol
_atom_site_fract_x
_atom_site_fract_y
_atom_site_fract_z
Ta1 Ta 0.500 0.500 0.500
Bi1 Bi 0.000 0.000 0.000
N1 N 0.000 0.500 0.000
N2 N 0.500 0.000 0.000
I1 I 0.000 0.000 0.500
```


(10)
A plane-wave DFT calculation with PBE was carried out for TiBiI2N after structural relaxation.

Calculated density: 5.18 Mg/m³
Excess energy over the best structure of this formula in the dataset: 1.0224 eV per atom
E_form (uncorrected): 1.01 eV per atom

Structure (CIF):
```
data_TiBiI2N
_cell_length_a 6.354
_cell_length_b 4.166
_cell_length_c 6.354
_cell_angle_alpha 90.00
_cell_angle_beta 90.00
_cell_angle_gamma 90.00
_symmetry_space_group_name_H-M 'P 1'
_symmetry_Int_Tables_number 1
_symmetry_space_group_name_Hall 'P 1'
loop_
_atom_site_label
_atom_site_type_symbol
_atom_site_fract_x
_atom_site_fract_y
_atom_site_fract_z
Bi1 Bi 0.000 0.000 0.000
Ti1 Ti 0.500 0.500 0.500
I1 I 0.000 0.000 0.500
N1 N 0.000 0.500 0.000
I2 I 0.500 0.000 0.000
```


(11)
A plane-wave DFT calculation with PBE was carried out for TiBiIN2 after structural relaxation.

Calculated density: 5.31 Mg/m³
Excess energy over the best structure of this formula in the dataset: 0.9302 eV per atom
E_form (uncorrected): 1.59 eV per atom

Structure (CIF):
```
data_TiBiIN2
_cell_length_a 4.346
_cell_length_b 4.346
_cell_length_c 6.821
_cell_angle_alpha 90.00
_cell_angle_beta 90.00
_cell_angle_gamma 90.00
_symmetry_space_group_name_H-M 'P 1'
_symmetry_Int_Tables_number 1
_symmetry_space_group_name_Hall 'P 1'
loop_
_atom_site_label
_atom_site_type_symbol
_atom_site_fract_x
_atom_site_fract_y
_atom_site_fract_z
Bi1 Bi 0.000 0.000 0.000
I1 I 0.000 0.000 0.500
Ti1 Ti 0.500 0.500 0.500
N1 N 0.000 0.500 0.000
N2 N 0.500 0.000 0.000
```


(12)
A plane-wave DFT calculation with PBE was carried out for TiBiI2N after structural relaxation.

Calculated density: 6.66 Mg/m³
Excess energy over the best structure of this formula in the dataset: 0.0000 eV per atom
E_form (uncorrected): -0.01 eV per atom

Structure (CIF):
```
data_TiBiI2N
_cell_length_a 5.891
_cell_length_b 5.891
_cell_length_c 3.772
_cell_angle_alpha 90.00
_cell_angle_beta 90.00
_cell_angle_gamma 90.00
_symmetry_space_group_name_H-M 'P 1'
_symmetry_Int_Tables_number 1
_symmetry_space_group_name_Hall 'P 1'
loop_
_atom_site_label
_atom_site_type_symbol
_atom_site_fract_x
_atom_site_fract_y
_atom_site_fract_z
I1 I 0.500 0.000 0.000
I2 I 0.000 0.500 0.000
Bi1 Bi 0.500 0.500 0.500
Ti1 Ti 0.000 0.000 0.000
N1 N 0.000 0.000 0.500
```